VASP calculation (GGA-PBE) on crystalline Rb2H6I at its relaxed geometry.

## Properties
* calculated volume: 178.0 Å³/cell
* total energy: -2.37 eV per atom
* total moment: 0.53 μB/cell

a = 4.262 Å, b = 7.119 Å, c = 7.119 Å
α = 62.27°, β = 71.80°, γ = 71.80°
Atoms (fractional coordinates):
1 H 0.555 0.447 0.553
2 Rb 0.243 0.317 0.317
3 I 0.556 0.000 0.000
4 H 0.674 0.651 0.117
5 H 0.438 0.883 0.349
6 H 0.674 0.117 0.651
7 H 0.555 0.553 0.447
8 Rb 0.868 0.684 0.684
9 H 0.438 0.349 0.883

***

VASP calculation (GGA-PBE) on crystalline Rb2BaAuSe at its relaxed geometry.

## Properties
* calculated volume: 261.0 Å³/cell
* total energy: -2.75 eV per atom
* total moment: 0.00 μB/cell

a = 6.460 Å, b = 6.253 Å, c = 6.460 Å
α = 90.00°, β = 90.00°, γ = 90.00°
Atoms (fractional coordinates):
1 Se 0.000 0.000 0.000
2 Rb 0.000 0.000 0.500
3 Ba 0.000 0.500 0.000
4 Au 0.500 0.500 0.500
5 Rb 0.500 0.000 0.000

***

VASP calculation (GGA-PBE) on crystalline CsBi2F8 at its relaxed geometry.

## Properties
* calculated volume: 182.9 Å³/cell
* total energy: -4.53 eV per atom
* total moment: 0.00 μB/cell

a = 4.505 Å, b = 6.711 Å, c = 6.711 Å
α = 115.06°, β = 93.08°, γ = 93.08°
Atoms (fractional coordinates):
1 Bi 0.000 0.673 0.327
2 F 0.049 0.338 0.040
3 F 0.500 0.719 0.281
4 Cs 0.500 0.000 0.000
5 F 0.951 0.960 0.662
6 F 0.049 0.040 0.338
7 F 0.749 0.417 0.417
8 F 0.500 0.281 0.719
9 Bi 0.000 0.327 0.673
10 F 0.951 0.662 0.960
11 F 0.251 0.583 0.583

***

VASP calculation (GGA-PBE) on crystalline FeSi2Ni2 at its relaxed geometry.

## Properties
* calculated volume: 115.0 Å³/cell
* total energy: -6.55 eV per atom
* total moment: 4.09 μB/cell

a = 6.577 Å, b = 6.577 Å, c = 2.658 Å
α = 90.00°, β = 90.00°, γ = 90.00°
Atoms (fractional coordinates):
1 Ni 0.859 0.359 0.500
2 Ni 0.141 0.641 0.500
3 Si 0.345 0.845 0.000
4 Fe 0.500 0.500 0.000
5 Si 0.845 0.655 0.000
6 Si 0.655 0.155 0.000
7 Si 0.155 0.345 0.000
8 Ni 0.359 0.141 0.500
9 Ni 0.641 0.859 0.500
10 Fe 0.000 0.000 0.000

***

VASP calculation (GGA-PBE) on crystalline AlGa2Sn2 at its relaxed geometry.

## Properties
* energy of formation: 181 meV per atom
* calculated volume: 229.1 Å³/cell
* total moment: 0.00 μB/cell

a = 7.976 Å, b = 7.976 Å, c = 3.601 Å
α = 90.00°, β = 90.00°, γ = 90.00°
Atoms (fractional coordinates):
1 Ga 0.362 0.862 0.000
2 Al 0.500 0.500 0.000
3 Sn 0.340 0.160 0.500
4 Ga 0.138 0.362 0.000
5 Al 0.000 0.000 0.000
6 Ga 0.862 0.638 0.000
7 Sn 0.160 0.660 0.500
8 Sn 0.660 0.840 0.500
9 Sn 0.840 0.340 0.500
10 Ga 0.638 0.138 0.000

***

VASP calculation (GGA-PBE) on crystalline Y2AgBr at its relaxed geometry.

## Properties
* calculated volume: 101.3 Å³/cell
* total energy: -4.89 eV per atom
* total moment: 0.00 μB/cell

a = 5.964 Å, b = 5.964 Å, c = 4.999 Å
α = 89.99°, β = 89.99°, γ = 34.74°
Atoms (fractional coordinates):
1 Y 0.747 0.747 0.625
2 Br 0.263 0.263 0.125
3 Ag 0.484 0.484 0.625
4 Y 0.006 0.006 0.125

***

VASP calculation (GGA-PBE) on crystalline Li4Hg3Pd5 at its relaxed geometry.

## Properties
* energy of formation: -268 meV per atom
* calculated volume: 202.0 Å³/cell
* total moment: 0.00 μB/cell

a = 4.878 Å, b = 4.504 Å, c = 12.800 Å
α = 104.67°, β = 117.40°, γ = 110.76°
Atoms (fractional coordinates):
1 Pd 0.894 0.326 0.254
2 Pd 0.549 0.461 0.902
3 Li 0.812 0.158 0.029
4 Li 0.713 0.772 0.345
5 Hg 0.201 0.928 0.207
6 Li 0.287 0.228 0.655
7 Pd 0.106 0.674 0.746
8 Hg 0.000 0.500 0.500
9 Pd 0.451 0.539 0.098
10 Pd 0.500 0.000 0.500
11 Hg 0.799 0.072 0.793
12 Li 0.188 0.842 0.971

***

VASP calculation (GGA-PBE) on crystalline CoCS2N at its relaxed geometry.

## Properties
* calculated volume: 61.1 Å³/cell
* total energy: -4.57 eV per atom
* total moment: 1.59 μB/cell

a = 4.042 Å, b = 3.741 Å, c = 4.042 Å
α = 90.00°, β = 90.00°, γ = 90.00°
Atoms (fractional coordinates):
1 N 0.500 0.500 0.500
2 C 0.000 0.000 0.000
3 S 0.000 0.000 0.500
4 Co 0.000 0.500 0.000
5 S 0.500 0.000 0.000

***

VASP calculation (GGA-PBE) on crystalline ZrHgSb2 at its relaxed geometry.

## Properties
* calculated volume: 99.5 Å³/cell
* total energy: -4.48 eV per atom
* total moment: 0.00 μB/cell

a = 3.998 Å, b = 3.998 Å, c = 6.223 Å
α = 90.00°, β = 90.00°, γ = 90.00°
Atoms (fractional coordinates):
1 Sb 0.500 0.500 0.312
2 Hg 0.500 0.500 0.774
3 Zr 0.000 0.000 0.466
4 Sb 0.000 0.000 0.947

***

VASP calculation (GGA-PBE) on crystalline BeFeNi3 at its relaxed geometry.

## Properties
* energy of formation: 1214 meV per atom
* calculated volume: 76.1 Å³/cell
* total moment: 4.62 μB/cell

a = 4.238 Å, b = 4.238 Å, c = 4.238 Å
α = 90.00°, β = 90.00°, γ = 90.00°
Atoms (fractional coordinates):
1 Ni 0.000 0.000 0.500
2 Be 0.500 0.500 0.500
3 Fe 0.000 0.000 0.000
4 Ni 0.000 0.500 0.000
5 Ni 0.500 0.000 0.000

***

VASP calculation (GGA-PBE) on crystalline InTc2Os at its relaxed geometry.

## Properties
* energy of formation: 295 meV per atom
* calculated volume: 63.9 Å³/cell
* total moment: 0.00 μB/cell

a = 3.937 Å, b = 2.838 Å, c = 6.389 Å
α = 63.57°, β = 90.00°, γ = 90.00°
Atoms (fractional coordinates):
1 Tc 0.000 0.029 0.972
2 Os 0.500 0.750 0.750
3 Tc 0.000 0.471 0.528
4 In 0.500 0.250 0.250

***

VASP calculation (GGA-PBE) on crystalline YZr2MoPd at its relaxed geometry.

## Properties
* energy of formation: 646 meV per atom
* calculated volume: 126.5 Å³/cell
* total moment: 0.00 μB/cell

a = 5.067 Å, b = 4.926 Å, c = 5.067 Å
α = 90.00°, β = 90.00°, γ = 90.00°
Atoms (fractional coordinates):
1 Zr 0.500 0.000 0.000
2 Y 0.500 0.500 0.500
3 Mo 0.000 0.500 0.000
4 Pd 0.000 0.000 0.000
5 Zr 0.000 0.000 0.500

***

VASP calculation (GGA-PBE) on crystalline Y2ZnNi at its relaxed geometry.

## Properties
* energy of formation: -363 meV per atom
* calculated volume: 88.0 Å³/cell
* total moment: 0.00 μB/cell

a = 4.410 Å, b = 3.783 Å, c = 5.611 Å
α = 70.15°, β = 90.00°, γ = 90.00°
Atoms (fractional coordinates):
1 Y 0.500 0.264 0.347
2 Zn 0.000 0.695 0.486
3 Y 0.000 0.982 0.909
4 Ni 0.500 0.558 0.757

***

VASP calculation (GGA-PBE) on crystalline PC2Se at its relaxed geometry.

## Properties
* calculated volume: 44.4 Å³/cell
* total energy: -4.25 eV per atom
* total moment: 0.00 μB/cell

a = 3.974 Å, b = 3.974 Å, c = 3.974 Å
α = 60.00°, β = 60.00°, γ = 60.00°
Atoms (fractional coordinates):
1 Se 0.500 0.500 0.500
2 C 0.250 0.250 0.250
3 C 0.750 0.750 0.750
4 P 0.000 0.000 0.000